# 1
# Cs3RbU2O9

An optimized crystal structure of Cs3RbU2O9 (PBE, Alexandria).

Cell lengths 6.516, 6.516, 8.247 Å; angles 90.00, 90.00, 120.00 degrees
Atoms (fractional coordinates):
Cs 0.000 0.000 0.000
Cs 0.333 0.667 0.656
Cs 0.667 0.333 0.344
Rb 0.000 0.000 0.500
U 0.333 0.667 0.143
U 0.667 0.333 0.857
O 0.000 0.500 0.000
O 0.191 0.382 0.282
O 0.191 0.809 0.282
O 0.382 0.191 0.718
O 0.500 0.000 0.000
O 0.500 0.500 0.000
O 0.618 0.809 0.282
O 0.809 0.191 0.718
O 0.809 0.618 0.718

Properties
SG: P-3m1 (164)

# 2
# CsRb2UO4

An optimized crystal structure of CsRb2UO4 (PBE, Alexandria).

Cell lengths 6.796, 6.796, 7.375 Å; angles 99.79, 99.79, 31.31 degrees
Atoms (fractional coordinates):
Cs 0.000 0.000 0.000
Rb 0.250 0.250 0.727
Rb 0.750 0.750 0.273
U 0.500 0.500 0.500
O 0.089 0.089 0.416
O 0.405 0.405 0.251
O 0.595 0.595 0.749
O 0.911 0.911 0.584

Properties
SG: C2/m (12)

| no. | formation energy from raw total energies (eV per atom) |
| --- | --- |
| 1 | -2.32 |
| 2 | -2.25 |